# PBE-GGA Ta2Al2Os, relaxed
# Electronic total energy: -81.9 eV for the cell shown
data_Ta2Al2Os
_chemical_formula_sum 'Ta4 Al4 Os2'
_space_group_name_H-M_alt 'I 4/m m m'
_space_group_IT_number 139
_space_group_name_Hall '-I 4 2'
_cell_length_a 3.3753
_cell_length_b 3.3753
_cell_length_c 14.9844
_cell_angle_alpha 90.00
_cell_angle_beta 90.00
_cell_angle_gamma 90.00
loop_
_atom_site_label
_atom_site_fract_x
_atom_site_fract_y
_atom_site_fract_z
Ta1 0.0000 0.0000 0.1004
Al1 0.0000 0.5000 0.2500
Os1 0.0000 0.0000 0.5000